Entry 1:
Density functional theory data (PBE) for a relaxed Pm4CdIn2Ag crystal.

Cell lengths 5.4070, 5.4070, 26.5216 Å; angles 90.00, 90.00, 120.00 degrees
Closest atoms and distances in Å follow each position.
Space group R-3m (No. 166, hexagonal axes)
Inequivalent atoms, fractional coordinates:
Pm: 0.0000 0.0000 0.1227 [6 per cell]  1 Ag 3.25, 4 In 3.28-3.33, 3 Cd 3.33
Pm: 0.0000 0.0000 0.3729 [6 per cell]  3 Ag 3.29, 4 In 3.31-3.35, 1 Cd 3.37
Cd: 0.0000 0.0000 0.5000 [3 per cell]  8 Pm 3.33-3.37
In: 0.0000 0.0000 0.2482 [6 per cell]  8 Pm 3.28-3.35
Ag: 0.0000 0.0000 0.0000 [3 per cell]  8 Pm 3.25-3.29

Results
E_tot = -3.9273 eV/atom

=====

Entry 2:
Density functional theory data (PBE) for a relaxed Pr4CdInAg2 crystal.

Cell lengths 5.4333, 5.4333, 26.6850 Å; angles 90.00, 90.00, 120.00 degrees
Closest atoms and distances in Å follow each position.
Space group R-3m (No. 166, hexagonal axes)
Inequivalent atoms, fractional coordinates:
Pr: 0.0000 0.0000 0.1242 [6 per cell]  1 Cd 3.31, 4 Ag 3.32-3.36, 3 In 3.34
Pr: 0.0000 0.0000 0.3744 [6 per cell]  4 Ag 3.32-3.33, 3 Cd 3.32, 1 In 3.35
Cd: 0.0000 0.0000 0.0000 [3 per cell]  8 Pr 3.31-3.32
In: 0.0000 0.0000 0.5000 [3 per cell]  8 Pr 3.34-3.35
Ag: 0.0000 0.0000 0.2500 [6 per cell]  8 Pr 3.32-3.36

Results
E_tot = -3.8729 eV/atom

=====

Entry 3:
Density functional theory data (PBE) for a relaxed Pr4Cd2InAg crystal.

Cell lengths 5.4587, 5.4587, 26.8051 Å; angles 90.00, 90.00, 120.00 degrees
Closest atoms and distances in Å follow each position.
Space group R-3m (No. 166, hexagonal axes)
Inequivalent atoms, fractional coordinates:
Pr: 0.0000 0.0000 0.1223 [6 per cell]  1 Ag 3.28, 4 Cd 3.30-3.36, 3 In 3.37
Pr: 0.0000 0.0000 0.3728 [6 per cell]  3 Ag 3.32, 4 Cd 3.35-3.39, 1 In 3.41
Cd: 0.0000 0.0000 0.2478 [6 per cell]  8 Pr 3.30-3.39
In: 0.0000 0.0000 0.5000 [3 per cell]  8 Pr 3.37-3.41
Ag: 0.0000 0.0000 0.0000 [3 per cell]  8 Pr 3.28-3.32

Results
E_tot = -3.6557 eV/atom

=====

Entry 4:
Density functional theory data (PBE) for a relaxed Pr2CdIn4Ag3 crystal.

Cell lengths 4.5672, 4.5672, 11.9259 Å; angles 90.00, 90.00, 90.00 degrees
Closest atoms and distances in Å follow each position.
Space group P-4m2 (No. 115)
Inequivalent atoms, fractional coordinates:
Pr: 0.0000 0.5000 0.2494 [2 per cell]  8 In 3.48-3.75, 6 Ag 3.50-3.76, 2 Cd 3.76
Cd: 0.0000 0.0000 0.5000 [1 per cell]  4 In 2.84
In: 0.0000 0.0000 0.0000 [1 per cell]  4 Ag 2.81
In: 0.0000 0.5000 0.6411 [2 per cell]  3 Ag 2.65-2.84, 2 Cd 2.84
In: 0.5000 0.5000 0.0000 [1 per cell]  4 Ag 2.81
Ag: 0.0000 0.5000 0.8634 [2 per cell]  5 In 2.65-2.81
Ag: 0.5000 0.5000 0.5000 [1 per cell]  4 In 2.84

Results
E_tot = -3.2808 eV/atom

=====

Entry 5:
Density functional theory data (PBE) for a relaxed RbCd2InAg crystal.

Cell lengths 5.7098, 5.7098, 5.4675 Å; angles 90.00, 90.00, 90.00 degrees
Closest atoms and distances in Å follow each position.
Space group P4/mmm (No. 123)
Inequivalent atoms, fractional coordinates:
Rb: 0.0000 0.0000 0.0000 [1 per cell]  8 Cd 3.95, 4 Ag 4.04
Cd: 0.0000 0.5000 0.5000 [2 per cell]  2 In 2.85
In: 0.5000 0.5000 0.5000 [1 per cell]  2 Ag 2.73, 4 Cd 2.85
Ag: 0.5000 0.5000 0.0000 [1 per cell]  2 In 2.73

Results
excess energy over the best structure of this formula in the dataset = 130 meV/atom

=====

Entry 6:
Density functional theory data (PBE) for a relaxed RbCd2InAg crystal.

Cell lengths 5.4815, 5.4815, 5.4447 Å; angles 90.00, 90.00, 90.00 degrees
Closest atoms and distances in Å follow each position.
Space group P4/mmm (No. 123)
Inequivalent atoms, fractional coordinates:
Rb: 0.0000 0.0000 0.0000 [1 per cell]  8 Cd 3.86, 4 In 3.88
Cd: 0.0000 0.5000 0.5000 [2 per cell]  2 Ag 2.74
In: 0.5000 0.5000 0.0000 [1 per cell]  2 Ag 2.72
Ag: 0.5000 0.5000 0.5000 [1 per cell]  2 In 2.72, 4 Cd 2.74

Results
excess energy over the best structure of this formula in the dataset = 93 meV/atom

=====

Entry 7:
Density functional theory data (PBE) for a relaxed RbCd6InAg crystal.

Cell lengths 5.8811, 11.8934, 15.8886 Å; angles 90.00, 90.00, 90.00 degrees
Closest atoms and distances in Å follow each position.
Space group Imma (No. 74)
Inequivalent atoms, fractional coordinates:
Rb: 0.0000 0.2500 0.1433 [4 per cell]  5 Cd 3.48-3.64
Cd: 0.0000 0.2500 0.5454 [4 per cell]  2 Cd 2.98, 2 Ag 3.06
Cd: 0.0000 0.2500 0.9242 [4 per cell]  6 Cd 2.98-3.24, 2 In 3.13
Cd: 0.2484 0.0298 0.8477 [16 per cell]  1 Ag 2.86, 3 Cd 2.92-3.10, 1 In 3.04
In: 0.2500 0.2500 0.7500 [4 per cell]  2 In 2.94, 6 Cd 3.04-3.13
Ag: 0.0000 0.0000 0.5000 [4 per cell]  6 Cd 2.86-3.06

Results
E_tot = -1.2639 eV/atom

=====

Entry 8:
Density functional theory data (PBE) for a relaxed RbCd2In4Ag crystal.

Cell lengths 5.0037, 5.0037, 32.9106 Å; angles 90.00, 90.00, 120.00 degrees
Closest atoms and distances in Å follow each position.
Space group R-3m (No. 166, hexagonal axes)
Inequivalent atoms, fractional coordinates:
Rb: 0.0000 0.0000 0.0000 [3 per cell]  6 In 3.82, 6 Cd 4.25
Cd: 0.0000 0.0000 0.2388 [6 per cell]  6 In 2.95-3.17
In: 0.0000 0.0000 0.1339 [6 per cell]  3 Ag 3.08, 4 Cd 3.17-3.45
In: 0.0000 0.0000 0.4095 [6 per cell]  3 Cd 2.95, 1 Ag 2.98
Ag: 0.0000 0.0000 0.5000 [3 per cell]  8 In 2.98-3.08

Results
E_tot = -2.1045 eV/atom

=====

Entry 9:
Density functional theory data (PBE) for a relaxed RbCd2InAg crystal.

Cell lengths 4.8415, 4.9690, 12.4596 Å; angles 90.00, 90.00, 90.00 degrees
Closest atoms and distances in Å follow each position.
Space group Imm2 (No. 44)
Inequivalent atoms, fractional coordinates:
Rb: 0.0000 0.0000 0.0000 [2 per cell]  8 Cd 3.73-4.06, 4 Ag 3.77, 4 In 3.94-3.99
Cd: 0.0000 0.0000 0.6110 [2 per cell]  1 Ag 2.86, 2 Cd 3.04, 2 In 3.06
Cd: 0.0000 0.5000 0.2580 [2 per cell]  2 Ag 2.92, 2 Cd 3.04
In: 0.0000 0.5000 0.7546 [2 per cell]  2 Ag 2.89, 2 Cd 3.06
Ag: 0.0000 0.0000 0.3813 [2 per cell]  3 Cd 2.86-2.92, 2 In 2.89

Results
excess energy over the best structure of this formula in the dataset = 0 meV/atom

=====

Entry 10:
Density functional theory data (PBE) for a relaxed Rb2Cd6InAg crystal.

Cell lengths 7.5429, 7.5776, 7.6462 Å; angles 61.16, 60.54, 60.40 degrees
Closest atoms and distances in Å follow each position.
Space group P-1 (No. 2)
Inequivalent atoms, fractional coordinates:
Rb: 0.1821 0.1850 0.4489 [2 per cell]  1 Ag 3.48, 4 Cd 3.87-3.90
Cd: 0.1599 0.3195 0.8993 [2 per cell]  1 Ag 2.84, 5 Cd 3.05-3.09, 1 In 3.08
Cd: 0.3212 0.6218 0.8992 [2 per cell]  1 Ag 2.85, 5 Cd 3.04-3.10, 1 In 3.07
Cd: 0.3790 0.8422 0.1016 [2 per cell]  1 Ag 2.85, 5 Cd 3.04-3.10, 1 In 3.10
In: 0.5000 0.5000 0.5000 [1 per cell]  6 Cd 3.07-3.10
Ag: 0.0000 0.0000 0.0000 [1 per cell]  6 Cd 2.84-2.85

Results
E_tot = -1.3555 eV/atom